# Tb2CePmHo PBE optimized geometry
data_Tb2CePmHo
_chemical_formula_sum 'Tb4 Ce2 Pm2 Ho2'
_cell_length_a 5.906
_cell_length_b 7.925
_cell_length_c 7.013
_cell_angle_alpha 90.00
_cell_angle_beta 90.00
_cell_angle_gamma 90.00
_space_group_name_H-M_alt 'P m m a'
_space_group_IT_number 51
_space_group_name_Hall '-P 2a 2a'
loop_
_atom_site_label
_atom_site_fract_x
_atom_site_fract_y
_atom_site_fract_z
Tb1 0.250 0.205 0.185
Ce1 0.000 0.500 0.500
Pm1 0.250 0.000 0.663
Ho1 0.250 0.500 0.899
# DFT formation energy: 287 meV/atom
# final energy: -46.18 eV per cell

***

# KFeCuPd2 PBE optimized geometry
data_KFeCuPd2
_chemical_formula_sum 'K1 Fe1 Cu1 Pd2'
_cell_length_a 4.588
_cell_length_b 4.588
_cell_length_c 5.518
_cell_angle_alpha 90.00
_cell_angle_beta 90.00
_cell_angle_gamma 90.00
_space_group_name_H-M_alt 'P 4/m m m'
_space_group_IT_number 123
_space_group_name_Hall '-P 4 2'
loop_
_atom_site_label
_atom_site_fract_x
_atom_site_fract_y
_atom_site_fract_z
K1 0.000 0.000 0.000
Fe1 0.000 0.000 0.500
Cu1 0.500 0.500 0.000
Pd1 0.000 0.500 0.500
# DFT formation energy: 1214 meV/atom
# final energy: -17.97 eV per cell

***

# CeSmGdZn PBE optimized geometry
data_CeSmGdZn
_chemical_formula_sum 'Ce4 Sm4 Gd4 Zn4'
_cell_length_a 7.519
_cell_length_b 7.519
_cell_length_c 7.519
_cell_angle_alpha 90.00
_cell_angle_beta 90.00
_cell_angle_gamma 90.00
_space_group_name_H-M_alt 'F -4 3 m'
_space_group_IT_number 216
_space_group_name_Hall 'F -4 2 3'
loop_
_atom_site_label
_atom_site_fract_x
_atom_site_fract_y
_atom_site_fract_z
Ce1 0.000 0.000 0.000
Sm1 0.250 0.250 0.250
Gd1 0.250 0.250 0.750
Zn1 0.000 0.000 0.500
# DFT formation energy: 94 meV/atom
# final energy: -102.52 eV per cell

***

# KCaRh2 PBE optimized geometry
data_KCaRh2
_chemical_formula_sum 'K1 Ca1 Rh2'
_cell_length_a 3.588
_cell_length_b 3.588
_cell_length_c 7.435
_cell_angle_alpha 90.00
_cell_angle_beta 90.00
_cell_angle_gamma 90.00
_space_group_name_H-M_alt 'P 4/m m m'
_space_group_IT_number 123
_space_group_name_Hall '-P 4 2'
loop_
_atom_site_label
_atom_site_fract_x
_atom_site_fract_y
_atom_site_fract_z
K1 0.000 0.000 0.000
Ca1 0.000 0.000 0.500
Rh1 0.500 0.500 0.316
# DFT formation energy: 351 meV/atom
# energy relative to the lowest polymorph listed for this composition: 1.076 eV/f.u.
# final energy: -16.40 eV per cell

***

# Zn2Sb3 PBE optimized geometry
data_Zn2Sb3
_chemical_formula_sum 'Zn12 Sb18'
_cell_length_a 7.6713
_cell_length_b 7.6713
_cell_length_c 14.6007
_cell_angle_alpha 90.00
_cell_angle_beta 90.00
_cell_angle_gamma 120.00
_space_group_name_H-M_alt 'R -3 c'
_space_group_IT_number 167
_space_group_name_Hall '-R 3 2"c'
loop_
_atom_site_label
_atom_site_fract_x
_atom_site_fract_y
_atom_site_fract_z
Zn1 0.0000 0.0000 0.1582
Sb1 0.0000 0.3435 0.2500
# final energy: -84.87 eV per cell
# formation energy from raw total energies: 0.1542 eV per atom

***

# GeSbPb3 PBE optimized geometry
data_GeSbPb3
_chemical_formula_sum 'Ge1 Sb1 Pb3'
_cell_length_a 5.865
_cell_length_b 5.865
_cell_length_c 5.865
_cell_angle_alpha 90.00
_cell_angle_beta 90.00
_cell_angle_gamma 90.00
_space_group_name_H-M_alt 'P m -3 m'
_space_group_IT_number 221
_space_group_name_Hall '-P 4 2 3'
loop_
_atom_site_label
_atom_site_fract_x
_atom_site_fract_y
_atom_site_fract_z
Ge1 0.000 0.000 0.000
Sb1 0.500 0.500 0.500
Pb1 0.000 0.500 0.500
# energy relative to the lowest polymorph listed for this composition: 1.740 eV/f.u.
# final energy: -15.99 eV per cell
# formation energy from raw total energies: 0.7750 eV per atom

***

# Hf3ZnRe PBE optimized geometry
data_Hf3ZnRe
_chemical_formula_sum 'Hf3 Zn1 Re1'
_cell_length_a 5.030
_cell_length_b 5.030
_cell_length_c 5.030
_cell_angle_alpha 90.00
_cell_angle_beta 90.00
_cell_angle_gamma 90.00
_space_group_name_H-M_alt 'P m -3 m'
_space_group_IT_number 221
_space_group_name_Hall '-P 4 2 3'
loop_
_atom_site_label
_atom_site_fract_x
_atom_site_fract_y
_atom_site_fract_z
Hf1 0.000 0.000 0.500
Zn1 0.500 0.500 0.500
Re1 0.000 0.000 0.000
# DFT formation energy: 706 meV/atom
# energy relative to the lowest polymorph listed for this composition: 0.000 eV/f.u.
# final energy: -40.05 eV per cell

***

# SrReAg2 PBE optimized geometry
data_SrReAg2
_chemical_formula_sum 'Sr4 Re4 Ag8'
_cell_length_a 7.054
_cell_length_b 7.054
_cell_length_c 7.054
_cell_angle_alpha 90.00
_cell_angle_beta 90.00
_cell_angle_gamma 90.00
_space_group_name_H-M_alt 'F m -3 m'
_space_group_IT_number 225
_space_group_name_Hall '-F 4 2 3'
loop_
_atom_site_label
_atom_site_fract_x
_atom_site_fract_y
_atom_site_fract_z
Sr1 0.000 0.000 0.000
Re1 0.000 0.000 0.500
Ag1 0.250 0.250 0.250
# DFT formation energy: 815 meV/atom
# energy relative to the lowest polymorph listed for this composition: 0.571 eV/f.u.
# final energy: -66.29 eV per cell

***

# Nd3ScCd2 PBE optimized geometry
data_Nd3ScCd2
_chemical_formula_sum 'Nd3 Sc1 Cd2'
_cell_length_a 5.475
_cell_length_b 3.789
_cell_length_c 8.813
_cell_angle_alpha 90.00
_cell_angle_beta 107.96
_cell_angle_gamma 90.00
_space_group_name_H-M_alt 'P 1 2/m 1'
_space_group_IT_number 10
_space_group_name_Hall '-P 2y'
loop_
_atom_site_label
_atom_site_fract_x
_atom_site_fract_y
_atom_site_fract_z
Nd1 0.000 0.000 0.000
Nd2 0.328 0.000 0.658
Sc1 0.500 0.500 0.000
Cd1 0.159 0.500 0.318
# DFT formation energy: -176 meV/atom
# energy relative to the lowest polymorph listed for this composition: 0.000 eV/f.u.
# final energy: -23.52 eV per cell

***

# LiPbF6 PBE optimized geometry
data_LiPbF6
_chemical_formula_sum 'Li1 Pb1 F6'
_cell_length_a 5.078
_cell_length_b 5.078
_cell_length_c 5.780
_cell_angle_alpha 64.03
_cell_angle_beta 64.01
_cell_angle_gamma 60.10
_space_group_name_H-M_alt 'P -1'
_space_group_IT_number 2
_space_group_name_Hall '-P 1'
loop_
_atom_site_label
_atom_site_fract_x
_atom_site_fract_y
_atom_site_fract_z
Li1 0.000 0.000 0.000
Pb1 0.500 0.500 0.500
F1 0.094 0.393 0.751
F2 0.237 0.905 0.250
F3 0.393 0.763 0.751
# energy relative to the lowest polymorph listed for this composition: 0.000 eV/f.u.
# final energy: -31.59 eV per cell
# formation energy from raw total energies: -1.8420 eV per atom

***

# Sr2YTl3 PBE optimized geometry
data_Sr2YTl3
_chemical_formula_sum 'Sr2 Y1 Tl3'
_cell_length_a 3.956
_cell_length_b 3.956
_cell_length_c 12.215
_cell_angle_alpha 90.00
_cell_angle_beta 90.00
_cell_angle_gamma 90.00
_space_group_name_H-M_alt 'P 4/m m m'
_space_group_IT_number 123
_space_group_name_Hall '-P 4 2'
loop_
_atom_site_label
_atom_site_fract_x
_atom_site_fract_y
_atom_site_fract_z
Sr1 0.000 0.000 0.175
Y1 0.000 0.000 0.500
Tl1 0.500 0.500 0.000
Tl2 0.500 0.500 0.353
# DFT formation energy: -399 meV/atom
# final energy: -19.32 eV per cell

***

# KMnCo2Br8 PBE optimized geometry
data_KMnCo2Br8
_chemical_formula_sum 'K3 Mn3 Co6 Br24'
_cell_length_a 6.6288
_cell_length_b 6.6288
_cell_length_c 29.4032
_cell_angle_alpha 90.00
_cell_angle_beta 90.00
_cell_angle_gamma 120.00
_space_group_name_H-M_alt 'R -3'
_space_group_IT_number 148
_space_group_name_Hall '-R 3'
loop_
_atom_site_label
_atom_site_fract_x
_atom_site_fract_y
_atom_site_fract_z
K1 0.0000 0.0000 0.0000
Mn1 0.0000 0.0000 0.5000
Co1 0.0000 0.0000 0.2436
Br1 0.0000 0.0000 0.3227
Br2 0.0028 0.6805 0.5528
# final energy: -136.82 eV per cell
# formation energy from raw total energies: -0.6454 eV per atom

***

# La3PrIr3 PBE optimized geometry
data_La3PrIr3
_chemical_formula_sum 'La18 Pr6 Ir18'
_cell_length_a 8.8593
_cell_length_b 8.8593
_cell_length_c 17.2349
_cell_angle_alpha 90.00
_cell_angle_beta 90.00
_cell_angle_gamma 120.00
_space_group_name_H-M_alt 'R -3'
_space_group_IT_number 148
_space_group_name_Hall '-R 3'
loop_
_atom_site_label
_atom_site_fract_x
_atom_site_fract_y
_atom_site_fract_z
La1 0.0187 0.2867 0.1007
Pr1 0.0000 0.0000 0.3258
Ir1 0.0079 0.3761 0.9338
# DFT formation energy: -639 meV/atom
# final energy: -303.72 eV per cell

***

# LiNdAu PBE optimized geometry
data_LiNdAu
_chemical_formula_sum 'Li1 Nd1 Au1'
_cell_length_a 4.5494
_cell_length_b 4.5494
_cell_length_c 3.8083
_cell_angle_alpha 90.00
_cell_angle_beta 90.00
_cell_angle_gamma 120.00
_space_group_name_H-M_alt 'P -6 m 2'
_space_group_IT_number 187
_space_group_name_Hall 'P -6 2'
loop_
_atom_site_label
_atom_site_fract_x
_atom_site_fract_y
_atom_site_fract_z
Li1 0.0000 0.0000 0.0000
Nd1 0.6667 0.3333 0.5000
Au1 0.3333 0.6667 0.0000
# DFT formation energy: -508 meV/atom
# energy relative to the lowest polymorph listed for this composition: 0.068 eV/f.u.
# final energy: -11.48 eV per cell

***

# CdP2Cl PBE optimized geometry
data_CdP2Cl
_chemical_formula_sum 'Cd2 P4 Cl2'
_cell_length_a 3.138
_cell_length_b 5.328
_cell_length_c 8.947
_cell_angle_alpha 90.00
_cell_angle_beta 90.00
_cell_angle_gamma 90.00
_space_group_name_H-M_alt 'C m m m'
_space_group_IT_number 65
_space_group_name_Hall '-C 2 2'
loop_
_atom_site_label
_atom_site_fract_x
_atom_site_fract_y
_atom_site_fract_z
Cd1 0.000 0.000 0.000
P1 0.000 0.500 0.259
Cl1 0.000 0.000 0.500
# energy relative to the lowest polymorph listed for this composition: 3.359 eV/f.u.
# final energy: -22.21 eV per cell
# formation energy from raw total energies: 0.6194 eV per atom

***

# SiBC2 PBE optimized geometry
data_SiBC2
_chemical_formula_sum 'Si1 B1 C2'
_cell_length_a 2.8508
_cell_length_b 2.8508
_cell_length_c 5.0290
_cell_angle_alpha 90.00
_cell_angle_beta 90.00
_cell_angle_gamma 120.00
_space_group_name_H-M_alt 'P 3 m 1'
_space_group_IT_number 156
_space_group_name_Hall 'P 3 -2"'
loop_
_atom_site_label
_atom_site_fract_x
_atom_site_fract_y
_atom_site_fract_z
Si1 0.0000 0.0000 0.0000
B1 0.0000 0.0000 0.5935
C1 0.3333 0.6667 0.1830
C2 0.3333 0.6667 0.4726
# energy relative to the lowest polymorph listed for this composition: 0.591 eV/f.u.
# final energy: -28.99 eV per cell
# formation energy from raw total energies: 0.3905 eV per atom

***

# TaBe4Tl PBE optimized geometry
data_TaBe4Tl
_chemical_formula_sum 'Ta4 Be16 Tl4'
_cell_length_a 6.691
_cell_length_b 6.691
_cell_length_c 6.691
_cell_angle_alpha 90.00
_cell_angle_beta 90.00
_cell_angle_gamma 90.00
_space_group_name_H-M_alt 'F -4 3 m'
_space_group_IT_number 216
_space_group_name_Hall 'F -4 2 3'
loop_
_atom_site_label
_atom_site_fract_x
_atom_site_fract_y
_atom_site_fract_z
Ta1 0.000 0.000 0.000
Be1 0.133 0.133 0.633
Tl1 0.250 0.250 0.250
# DFT formation energy: 427 meV/atom
# final energy: -106.24 eV per cell

***

# Nd2SmGa PBE optimized geometry
data_Nd2SmGa
_chemical_formula_sum 'Nd6 Sm3 Ga3'
_cell_length_a 3.5908
_cell_length_b 3.5908
_cell_length_c 34.7360
_cell_angle_alpha 90.00
_cell_angle_beta 90.00
_cell_angle_gamma 120.00
_space_group_name_H-M_alt 'R -3 m'
_space_group_IT_number 166
_space_group_name_Hall '-R 3 2"'
loop_
_atom_site_label
_atom_site_fract_x
_atom_site_fract_y
_atom_site_fract_z
Nd1 0.0000 0.0000 0.1021
Sm1 0.0000 0.0000 0.0000
Ga1 0.0000 0.0000 0.5000
# DFT formation energy: 6 meV/atom
# energy relative to the lowest polymorph listed for this composition: 0.997 eV/f.u.
# final energy: -51.77 eV per cell